Record 1
Below is a relaxed structure of MoC3O, with properties calculated at the PBE with a Hubbard U level.

Geometry as POSCAR:
```
MoC3O
1.0
3.5163 0.0000 0.0000
0.0000 3.5163 0.0000
0.0000 0.0000 3.5163
Mo C O
1 3 1
direct
0.5000 0.5000 0.5000
0.0000 0.5000 0.0000
0.0000 0.0000 0.5000
0.5000 0.0000 0.0000
0.0000 0.0000 0.0000
```

Output
Space-group type = Pm-3m (221)
ΔE to the lowest computed polymorph = 0.000 eV/f.u.
Size of the total moment = 0.000 Bohr magnetons per cell
D(E_F) = 2.45 states/eV/f.u.

***

Record 2
Below is a relaxed structure of MoC3O, with properties calculated at the PBE with a Hubbard U level.

Geometry as POSCAR:
```
MoC3O
1.0
-0.4526 -1.2419 3.8954
4.0884 -0.1732 0.4198
0.0373 3.9177 1.2534
Mo C O
1 3 1
direct
0.0000 0.0000 0.0000
0.0000 0.5000 0.0000
0.0000 0.0000 0.5000
0.5000 0.0000 0.0000
0.5000 0.5000 0.5000
```

Output
Space-group type = Pm-3m (221)
ΔE to the lowest computed polymorph = 0.026 eV/f.u.
Size of the total moment = 1.999 Bohr magnetons per cell
D(E_F) = 3.24 states/eV/f.u.

***

Record 3
Below is a relaxed structure of MoPCO2, with properties calculated at the PBE with a Hubbard U level.

Geometry as POSCAR:
```
MoPCO2
1.0
-2.5458 1.1183 2.4892
1.0859 -2.7080 2.3271
3.5646 3.2915 2.1669
P Mo C O
1 1 1 2
direct
0.0000 0.0000 0.5000
0.0000 0.0000 0.0000
0.5000 0.5000 0.5000
0.0000 0.5000 0.0000
0.5000 0.0000 0.0000
```

Output
Space-group type = P4/mmm (123)
ΔE to the lowest computed polymorph = 0.000 eV/f.u.
Size of the total moment = 1.522 Bohr magnetons per cell
D(E_F) = 3.20 states/eV/f.u.

***

Record 4
Below is a relaxed structure of MoP2CO, with properties calculated at the PBE with a Hubbard U level.

Geometry as POSCAR:
```
MoP2CO
1.0
-1.4581 2.1782 3.1054
3.0479 -1.7029 2.6256
2.5197 3.0431 -0.9513
P Mo C O
2 1 1 1
direct
0.0000 0.0000 0.5000
0.5000 0.0000 0.0000
0.0000 0.5000 0.0000
0.5000 0.5000 0.5000
0.0000 0.0000 0.0000
```

Output
Space-group type = P4/mmm (123)
ΔE to the lowest computed polymorph = 2.392 eV/f.u.
Size of the total moment = 2.830 Bohr magnetons per cell
D(E_F) = 2.54 states/eV/f.u.